# 1
NaLa2Be2O6 PBE optimized geometry; volume = 146 Å³/f.u.; uncorrected formation energy = -2.48 eV per atom; space-group type = R-3m (166)
1.0
-4.953 -2.011 0.198
-0.729 -5.292 0.273
-1.775 -2.146 6.059
O Be La Na
6 2 2 1
Direct
0.267 0.762 0.704 O
0.238 0.733 0.296 O
0.267 0.267 0.704 O
0.762 0.267 0.704 O
0.733 0.733 0.296 O
0.733 0.238 0.296 O
0.429 0.429 0.712 Be
0.571 0.571 0.288 Be
0.208 0.208 0.377 La
0.792 0.792 0.623 La
0.000 0.000 0.000 Na

---

# 2
ScHg PBE optimized geometry; volume = 50 Å³/f.u.; space-group type = P4/m (83); DFT formation energy = -0.098 eV per atom
1.0
10.940 0.000 0.000
0.000 10.940 0.000
0.000 0.000 3.336
Sc Hg
8 8
Direct
0.098 0.626 0.000 Sc
0.374 0.098 0.000 Sc
0.847 0.622 0.500 Sc
0.626 0.902 0.000 Sc
0.378 0.847 0.500 Sc
0.153 0.378 0.500 Sc
0.622 0.153 0.500 Sc
0.902 0.374 0.000 Sc
0.420 0.326 0.500 Hg
0.092 0.165 0.000 Hg
0.165 0.908 0.000 Hg
0.835 0.092 0.000 Hg
0.908 0.835 0.000 Hg
0.326 0.580 0.500 Hg
0.674 0.420 0.500 Hg
0.580 0.674 0.500 Hg

---

# 3
B2RuPtRh PBE optimized geometry; volume = 79 Å³/f.u.; space-group type = P4/mmm (123); DFT formation energy = 1.254 eV per atom
1.0
-2.042 3.178 1.018
-4.307 -2.788 0.064
0.592 -0.829 3.777
B Rh Ru Pt
2 1 1 1
Direct
0.500 0.000 0.000 B
0.000 0.000 0.500 B
0.000 0.000 0.000 Rh
0.000 0.500 0.000 Ru
0.500 0.500 0.500 Pt